P.
DFT (PBEsol) results for a relaxed MgCuMo crystal.

D(E_F) = 17.49 states/eV per cell

abc: 5.9857 5.9857 5.9857
angles: 90.00 90.00 90.00
With the nearest neighbours (Å) after each atom.
Space group F-43m (No. 216)
Inequivalent atoms, fractional coordinates:
Mg (0.0000, 0.0000, 0.0000)  4 Mo 2.59
Cu (0.0000, 0.0000, 0.5000)  4 Mo 2.59
Mo (0.2500, 0.2500, 0.7500)  4 Mg 2.59, 4 Cu 2.59

=====

Q.
DFT (PBEsol) results for a relaxed MgCuMo crystal.

D(E_F) = 3.14 states/eV per cell

abc: 4.4306 4.4306 2.5991
angles: 90.00 90.00 120.00
With the nearest neighbours (Å) after each atom.
Space group P3m1 (No. 156)
Inequivalent atoms, fractional coordinates:
Mg (0.0000, 0.0000, 0.0000)  2 Mg 2.60, 3 Cu 2.60, 3 Mo 2.80
Cu (0.3333, 0.6667, 0.1869)  2 Cu 2.60, 3 Mg 2.60, 3 Mo 2.74
Mo (0.6667, 0.3333, 0.5605)  2 Mo 2.60, 3 Cu 2.74, 3 Mg 2.80

=====

Q is the most stable structure; the next one sits 799 meV/atom above it.

=====

P.
DFT (PBEsol) results for a relaxed Mg4CuO5 crystal.

D(E_F) = 7.75 states/eV per cell

abc: 2.9884 4.1949 14.8927
angles: 90.00 90.00 90.00
With the nearest neighbours (Å) after each atom.
Space group Immm (No. 71)
Inequivalent atoms, fractional coordinates:
Mg (0.0000, 0.0000, 0.0988)  6 O 2.10-2.12
Mg (0.0000, 0.0000, 0.2996)  6 O 2.10-2.11
Cu (0.0000, 0.0000, 0.5000)  6 O 2.10-2.13
O (0.0000, 0.5000, 0.1016)  4 Mg 2.10, 2 Cu 2.13
O (0.0000, 0.5000, 0.3003)  6 Mg 2.10-2.12
O (0.0000, 0.5000, 0.5000)  4 Mg 2.10, 2 Cu 2.10

=====

Q.
DFT (PBEsol) results for a relaxed Mg4CuO5 crystal.

D(E_F) = 3.10 states/eV per cell

abc: 2.9813 2.9813 20.9865
angles: 90.00 90.00 90.00
With the nearest neighbours (Å) after each atom.
Space group I4/mmm (No. 139)
Inequivalent atoms, fractional coordinates:
Mg (0.0000, 0.0000, 0.0981)  6 O 2.06-2.13
Mg (0.0000, 0.0000, 0.3001)  6 O 2.10-2.11
Cu (0.0000, 0.0000, 0.5000)  6 O 2.09-2.11
O (0.0000, 0.0000, 0.0000)  2 Mg 2.06, 4 Cu 2.11
O (0.0000, 0.0000, 0.1996)  6 Mg 2.11-2.13
O (0.0000, 0.0000, 0.4002)  1 Cu 2.09, 5 Mg 2.10-2.11

=====

Q is the most stable structure; the next one sits 17 meV/atom above it.

=====

P.
DFT (PBEsol) results for a relaxed MgCu3O crystal.

D(E_F) = 1.92 states/eV per cell

abc: 4.4046 4.4046 4.4046
angles: 90.00 90.00 90.00
With the nearest neighbours (Å) after each atom.
Space group Pm-3m (No. 221)
Inequivalent atoms, fractional coordinates:
Mg (0.0000, 0.0000, 0.0000)  6 Cu 2.20
Cu (0.0000, 0.0000, 0.5000)  2 Mg 2.20
O (0.5000, 0.5000, 0.5000)  12 Cu 3.11

=====

Q.
DFT (PBEsol) results for a relaxed MgCu3O crystal.

D(E_F) = 2.62 states/eV per cell

abc: 4.0179 4.0179 4.0179
angles: 90.00 90.00 90.00
With the nearest neighbours (Å) after each atom.
Space group Pm-3m (No. 221)
Inequivalent atoms, fractional coordinates:
Mg (0.0000, 0.0000, 0.0000)  12 Cu 2.84
Cu (0.0000, 0.5000, 0.5000)  2 O 2.01
O (0.5000, 0.5000, 0.5000)  6 Cu 2.01

=====

Q is the most stable structure; the next one sits 1551 meV/atom above it.

=====

P.
DFT (PBEsol) results for a relaxed MgCuP2O7 crystal.

abc: 6.8823 8.2304 9.0501
angles: 90.00 112.29 90.00
With the nearest neighbours (Å) after each atom.
Space group P2_1/c (No. 14)
Inequivalent atoms, fractional coordinates:
Mg (0.2378, 0.0680, 0.1089)  6 O 2.02-2.23
Cu (0.2839, 0.0587, 0.6580)  4 O 1.92-1.98
P (0.0529, 0.7306, 0.7370)  4 O 1.51-1.61
P (0.4555, 0.7239, 0.0265)  4 O 1.51-1.59
O (0.0153, 0.5975, 0.6125)  1 P 1.52
O (0.1039, 0.6054, 0.1868)  1 P 1.51
O (0.1298, 0.2412, 0.7037)  1 P 1.55
O (0.2447, 0.6620, 0.8893)  2 P 1.59-1.61
O (0.3768, 0.2325, 0.5481)  1 P 1.54
O (0.4248, 0.6119, 0.5887)  1 P 1.51
O (0.4980, 0.0871, 0.3481)  1 P 1.54

=====

Q.
DFT (PBEsol) results for a relaxed MgCuP2O7 crystal.

abc: 6.1097 6.2563 7.1893
angles: 69.62 75.91 81.03
With the nearest neighbours (Å) after each atom.
Space group P-1 (No. 2)
Inequivalent atoms, fractional coordinates:
Mg (0.0581, 0.2157, 0.3054)  5 O 1.99-2.07
Cu (0.3335, 0.4087, 0.7231)  4 O 1.89-2.02
P (0.1623, 0.7109, 0.2651)  4 O 1.52-1.58
P (0.3959, 0.8627, 0.8267)  4 O 1.51-1.63
O (0.0077, 0.4386, 0.7489)  1 P 1.54
O (0.0515, 0.8708, 0.3864)  1 P 1.53
O (0.2484, 0.8791, 0.0443)  2 P 1.58-1.63
O (0.2582, 0.7151, 0.7689)  1 P 1.55
O (0.3534, 0.5504, 0.3515)  1 P 1.52
O (0.3713, 0.2454, 0.1409)  1 P 1.51
O (0.3859, 0.1097, 0.6902)  1 P 1.52

=====

P is the most stable structure; the next one sits 26 meV/atom above it.

=====

P.
DFT (PBEsol) results for a relaxed Mg2CuRe crystal.

D(E_F) = 3.10 states/eV per cell

abc: 2.7057 4.1380 5.5108
angles: 90.00 90.00 90.00
With the nearest neighbours (Å) after each atom.
Space group Pmm2 (No. 25)
Inequivalent atoms, fractional coordinates:
Mg (0.0000, 0.0000, 0.0000)  2 Re 2.66-2.85, 6 Mg 2.71-2.93, 4 Cu 2.84
Mg (0.5000, 0.5000, 0.2840)  1 Cu 2.54, 2 Mg 2.71, 4 Re 2.79
Cu (0.5000, 0.5000, 0.7457)  5 Mg 2.54-2.84, 2 Cu 2.71, 4 Re 2.77
Re (0.0000, 0.0000, 0.5179)  6 Mg 2.66-2.85, 2 Re 2.71, 4 Cu 2.77

=====

Q.
DFT (PBEsol) results for a relaxed Mg2CuRe crystal.

D(E_F) = 4.61 states/eV per cell

abc: 5.5767 8.2445 2.6553
angles: 90.00 90.00 90.00
With the nearest neighbours (Å) after each atom.
Space group Cmmm (No. 65)
Inequivalent atoms, fractional coordinates:
Mg (0.2500, 0.2500, 0.0000)  4 Mg 2.66-2.79, 4 Re 2.82, 4 Cu 2.82
Cu (0.0000, 0.0000, 0.5000)  2 Cu 2.66, 2 Re 2.79, 8 Mg 2.82
Re (0.0000, 0.5000, 0.5000)  2 Re 2.66, 2 Cu 2.79, 8 Mg 2.82

=====

Q is the most stable structure; the next one sits 95 meV/atom above it.

=====

P.
DFT (PBEsol) results for a relaxed MgCuRu crystal.

D(E_F) = 1.92 states/eV per cell

abc: 4.3424 4.3424 2.5312
angles: 90.00 90.00 120.00
With the nearest neighbours (Å) after each atom.
Space group P3m1 (No. 156)
Inequivalent atoms, fractional coordinates:
Mg (0.0000, 0.0000, 0.0000)  2 Mg 2.53, 3 Cu 2.58, 3 Ru 2.70
Cu (0.3333, 0.6667, 0.7561)  2 Cu 2.53, 3 Mg 2.58, 3 Ru 2.66
Ru (0.6667, 0.3333, 0.4010)  2 Ru 2.53, 3 Cu 2.66, 3 Mg 2.70

=====

Q.
DFT (PBEsol) results for a relaxed MgCuRu crystal.

D(E_F) = 3.70 states/eV per cell

abc: 2.5877 3.9559 8.1124
angles: 90.00 90.00 90.00
With the nearest neighbours (Å) after each atom.
Space group Imm2 (No. 44)
Inequivalent atoms, fractional coordinates:
Mg (0.0000, 0.0000, 0.0000)  2 Mg 2.59, 5 Ru 2.65-2.75, 5 Cu 2.67-2.74
Cu (0.0000, 0.0000, 0.3293)  2 Cu 2.59, 5 Mg 2.67-2.74, 5 Ru 2.68-2.79
Ru (0.0000, 0.0000, 0.6731)  2 Ru 2.59, 5 Mg 2.65-2.75, 5 Cu 2.68-2.79

=====

Q is the most stable structure; the next one sits 13 meV/atom above it.